1.
A relaxed Ac8Tl2Au3 crystal. Source: the Alexandria database, functional PBE-GGA.

The energy of formation from the pure elements is -0.318 eV/atom. The volume comes out at 1051.8 Å³ per cell.

The structure belongs to space group C2/m (No. 12); the cell edges are 18.3066, 8.1929 and 7.4640 Å and the angles 90.00°, 110.02° and 90.00°. The distinct sites, in fractional coordinates, are Ac at (0.0912, 0.0000, 0.4243), Ac at (0.1116, 0.2527, 0.9228), Ac at (0.1733, 0.5000, 0.5383), Tl at (0.2466, 0.0000, 0.8220), Au at (0.0000, 0.0000, 0.0000) and Au at (0.0000, 0.3240, 0.5000).


2.
A relaxed Gd3Er12Tm5 crystal. Source: the Alexandria database, functional PBE-GGA.

The energy of formation from the pure elements is 1.058 eV/atom. The volume comes out at 6634.9 Å³ per cell.

The structure belongs to space group Ia-3d (No. 230); the cell edges are 18.7907, 18.7907 and 18.7907 Å and the angles 90.00°, 90.00° and 90.00°. The distinct sites, in fractional coordinates, are Gd at (0.0000, 0.2500, 0.1250), Er at (0.0040, 0.0794, 0.6470), Tm at (0.0000, 0.0000, 0.0000) and Tm at (0.0000, 0.2500, 0.3750).


3.
A relaxed PmScFe crystal. Source: the Alexandria database, functional PBE-GGA.

The energy of formation from the pure elements is 0.065 eV/atom. The volume comes out at 132.0 Å³ per cell.

The structure belongs to space group I4mm (No. 107); the cell edges are 3.2532, 3.2532 and 12.4728 Å and the angles 90.00°, 90.00° and 90.00°. The distinct sites, in fractional coordinates, are Pm at (0.0000, 0.0000, 0.0000), Sc at (0.0000, 0.0000, 0.7457) and Fe at (0.0000, 0.0000, 0.3571).


4.
A relaxed Pm3CdHg3 crystal. Source: the Alexandria database, functional PBE-GGA.

The energy of formation from the pure elements is -0.282 eV/atom. The volume comes out at 390.3 Å³ per cell.

The structure belongs to space group P6_3/m (No. 176); the cell edges are 9.2561, 9.2561 and 5.2607 Å and the angles 90.00°, 90.00° and 120.00°. The distinct sites, in fractional coordinates, are Pm at (0.0975, 0.6519, 0.2500), Cd at (0.3333, 0.6667, 0.7500) and Hg at (0.0416, 0.7998, 0.7500).


5.
A relaxed La4PrP4 crystal. Source: the Alexandria database, functional PBE-GGA.

The energy of formation from the pure elements is -1.387 eV/atom. The volume comes out at 534.6 Å³ per cell.

The structure belongs to space group I4/m (No. 87); the cell edges are 9.4410, 9.4410 and 5.9980 Å and the angles 90.00°, 90.00° and 90.00°. The distinct sites, in fractional coordinates, are La at (0.1035, 0.6940, 0.0000), Pr at (0.0000, 0.0000, 0.5000) and P at (0.0986, 0.7027, 0.5000).


6.
A relaxed Ta3C2 crystal. Source: the Alexandria database, functional PBE-GGA.

The energy of formation from the pure elements is -0.529 eV/atom. The volume comes out at 64.9 Å³ per cell.

The structure belongs to space group P-3m1 (No. 164); the cell edges are 3.1484, 3.1484 and 7.5626 Å and the angles 90.00°, 90.00° and 120.00°. The distinct sites, in fractional coordinates, are Ta at (0.0000, 0.0000, 0.0000), Ta at (0.3333, 0.6667, 0.3315) and C at (0.3333, 0.6667, 0.8255).


7.
A relaxed Ti3In2Pd7 crystal. Source: the Alexandria database, functional PBE-GGA.

The energy of formation from the pure elements is -0.414 eV/atom. The volume comes out at 209.4 Å³ per cell.

The structure belongs to space group P2/m (No. 10); the cell edges are 4.3923, 3.7394 and 12.9359 Å and the angles 90.00°, 99.76° and 90.00°. The distinct sites, in fractional coordinates, are Ti at (0.0000, 0.0000, 0.0000), Ti at (0.3508, 0.5000, 0.7013), In at (0.1602, 0.0000, 0.3206), Pd at (0.0768, 0.5000, 0.1561), Pd at (0.2795, 0.0000, 0.5591), Pd at (0.4246, 0.0000, 0.8462) and Pd at (0.5000, 0.5000, 0.0000).


8.
A relaxed La4Pm3SmS8 crystal. Source: the Alexandria database, functional PBE-GGA.

The volume comes out at 1162.6 Å³ per cell. The value obtained for the formation energy without anion corrections is -2102 meV/atom.

The structure belongs to space group R-3m (No. 166, hexagonal axes); the cell edges are 8.1828, 8.1828 and 20.0488 Å and the angles 90.00°, 90.00° and 120.00°. The distinct sites, in fractional coordinates, are La at (0.0000, 0.0000, 0.0000), La at (0.0000, 0.5000, 0.0000), Pm at (0.0000, 0.5000, 0.5000), Sm at (0.0000, 0.0000, 0.5000), S at (0.0000, 0.0000, 0.2473) and S at (0.0012, 0.5006, 0.2470).